No. 1
Compound: HoMg11Ni
Source: the Alexandria database
Functional: PBE-GGA
Structure: relaxed Values from VASP.

Results
- Theoretical density: 2.9 g/cm³
- Total DFT energy (no corrections): -2.18 eV/atom
- Energy of formation: -0.029 eV per atom
- Symmetry: C2/m (12)
- DOS(E_F): 0.5273 states/eV per atom

Geometry as Quantum ESPRESSO input:
```
&SYSTEM
  ibrav = 0, nat = 13, ntyp = 3
/
ATOMIC_SPECIES
Ho 164.93 Ho.upf
Mg 24.30 Mg.upf
Ni 58.69 Ni.upf
CELL_PARAMETERS angstrom
2.8009 -7.1742 0.0000
2.8009 7.1742 0.0000
-2.6489 0.0000 7.1084
ATOMIC_POSITIONS crystal
Ho 0.0000 0.0000 0.0000
Mg 0.0000 0.0000 0.5000
Mg 0.0000 0.5000 0.0000
Mg 0.0230 0.3578 0.3610
Mg 0.3056 0.5074 0.7811
Mg 0.3578 0.0230 0.3610
Mg 0.4926 0.6944 0.2189
Mg 0.5000 0.0000 0.0000
Mg 0.5074 0.3056 0.7811
Mg 0.6422 0.9770 0.6390
Mg 0.6944 0.4926 0.2189
Mg 0.9770 0.6422 0.6390
Ni 0.5000 0.5000 0.5000
```

No. 2
Compound: Ho6MgNi2
Source: the Alexandria database
Functional: PBE-GGA
Structure: relaxed Values from VASP.

Results
- Theoretical density: 8.3 g/cm³
- Total DFT energy (no corrections): -4.75 eV/atom
- Energy of formation: -0.233 eV per atom
- Symmetry: Immm (71)
- DOS(E_F): 1.1715 states/eV per atom

Geometry as Quantum ESPRESSO input:
```
&SYSTEM
  ibrav = 0, nat = 18, ntyp = 3
/
ATOMIC_SPECIES
Ho 164.93 Ho.upf
Mg 24.30 Mg.upf
Ni 58.69 Ni.upf
CELL_PARAMETERS angstrom
-4.6295 4.8011 5.0844
4.6295 -4.8011 5.0844
4.6295 4.8011 -5.0844
ATOMIC_POSITIONS crystal
Ho 0.0330 0.2340 0.7989
Ho 0.1839 0.2908 0.4747
Ho 0.1839 0.7092 0.8931
Ho 0.3202 0.0117 0.6915
Ho 0.3202 0.6287 0.3085
Ho 0.4351 0.2340 0.2011
Ho 0.5649 0.7660 0.7989
Ho 0.6798 0.3713 0.6915
Ho 0.6798 0.9883 0.3085
Ho 0.8161 0.2908 0.1069
Ho 0.8161 0.7092 0.5253
Ho 0.9670 0.7660 0.2011
Mg 0.0000 0.0000 0.0000
Mg 0.5000 0.5000 0.0000
Ni 0.1206 0.6206 0.5000
Ni 0.3441 0.0000 0.3441
Ni 0.6559 0.0000 0.6559
Ni 0.8794 0.3794 0.5000
```

No. 3
Compound: Ho4MgNi
Source: the Alexandria database
Functional: PBE-GGA
Structure: relaxed Values from VASP.

Results
- Theoretical density: 7.9 g/cm³
- Total DFT energy (no corrections): -4.49 eV/atom
- Energy of formation: -0.209 eV per atom
- Distance to the lowest polymorph of the same formula: 0.00 eV/f.u.
- Symmetry: F-43m (216)
- DOS(E_F): 1.1936 states/eV per atom

Geometry as Quantum ESPRESSO input:
```
&SYSTEM
  ibrav = 0, nat = 24, ntyp = 3
/
ATOMIC_SPECIES
Ho 164.93 Ho.upf
Mg 24.30 Mg.upf
Ni 58.69 Ni.upf
CELL_PARAMETERS angstrom
0.0000 6.7740 6.7740
6.7740 0.0000 6.7740
6.7740 6.7740 0.0000
ATOMIC_POSITIONS crystal
Ho 0.1849 0.1849 0.8151
Ho 0.1849 0.8151 0.1849
Ho 0.1849 0.8151 0.8151
Ho 0.4042 0.4042 0.4042
Ho 0.4042 0.4042 0.7875
Ho 0.4042 0.7875 0.4042
Ho 0.5623 0.5623 0.9377
Ho 0.5623 0.9377 0.5623
Ho 0.5623 0.9377 0.9377
Ho 0.7875 0.4042 0.4042
Ho 0.8151 0.1849 0.1849
Ho 0.8151 0.1849 0.8151
Ho 0.8151 0.8151 0.1849
Ho 0.9377 0.5623 0.5623
Ho 0.9377 0.5623 0.9377
Ho 0.9377 0.9377 0.5623
Mg 0.1704 0.1704 0.1704
Mg 0.1704 0.1704 0.4889
Mg 0.1704 0.4889 0.1704
Mg 0.4889 0.1704 0.1704
Ni 0.1756 0.6081 0.6081
Ni 0.6081 0.1756 0.6081
Ni 0.6081 0.6081 0.1756
Ni 0.6081 0.6081 0.6081
```

No. 4
Compound: HoMg3Ni
Source: the Alexandria database
Functional: PBE-GGA
Structure: relaxed Values from VASP.

Results
- Theoretical density: 4.6 g/cm³
- Total DFT energy (no corrections): -3.21 eV/atom
- Energy of formation: -0.181 eV per atom
- Symmetry: P2_1/m (11)
- DOS(E_F): 0.4546 states/eV per atom

Geometry as Quantum ESPRESSO input:
```
&SYSTEM
  ibrav = 0, nat = 10, ntyp = 3
/
ATOMIC_SPECIES
Ho 164.93 Ho.upf
Mg 24.30 Mg.upf
Ni 58.69 Ni.upf
CELL_PARAMETERS angstrom
5.2771 0.0000 0.0000
0.0000 5.7684 0.0000
-1.9771 0.0000 6.9701
ATOMIC_POSITIONS crystal
Ho 0.1118 0.2500 0.4045
Ho 0.8882 0.7500 0.5955
Mg 0.0142 0.2500 0.8960
Mg 0.4824 0.5020 0.7899
Mg 0.4824 0.9980 0.7899
Mg 0.5176 0.0020 0.2101
Mg 0.5176 0.4980 0.2101
Mg 0.9858 0.7500 0.1040
Ni 0.3294 0.7500 0.4654
Ni 0.6706 0.2500 0.5346
```

No. 5
Compound: HoMgNi5
Source: the Alexandria database
Functional: PBE-GGA
Structure: relaxed Values from VASP.

Results
- Theoretical density: 8.2 g/cm³
- Total DFT energy (no corrections): -5.32 eV/atom
- Energy of formation: -0.311 eV per atom
- Symmetry: Pnma (62)
- DOS(E_F): 1.2476 states/eV per atom

Geometry as Quantum ESPRESSO input:
```
&SYSTEM
  ibrav = 0, nat = 28, ntyp = 3
/
ATOMIC_SPECIES
Ho 164.93 Ho.upf
Mg 24.30 Mg.upf
Ni 58.69 Ni.upf
CELL_PARAMETERS angstrom
8.0152 0.0000 0.0000
0.0000 4.8046 0.0000
0.0000 0.0000 10.1911
ATOMIC_POSITIONS crystal
Ho 0.2492 0.2500 0.0596
Ho 0.2508 0.7500 0.5596
Ho 0.7492 0.2500 0.4404
Ho 0.7508 0.7500 0.9404
Mg 0.1361 0.7500 0.8609
Mg 0.3639 0.2500 0.3609
Mg 0.6361 0.7500 0.6391
Mg 0.8639 0.2500 0.1391
Ni 0.0468 0.7500 0.1046
Ni 0.0690 0.0020 0.3105
Ni 0.0690 0.4980 0.3105
Ni 0.0841 0.2500 0.5162
Ni 0.1880 0.2500 0.7412
Ni 0.3120 0.7500 0.2412
Ni 0.4159 0.7500 0.0162
Ni 0.4310 0.5020 0.8105
Ni 0.4310 0.9980 0.8105
Ni 0.4532 0.2500 0.6046
Ni 0.5468 0.7500 0.3954
Ni 0.5690 0.0020 0.1895
Ni 0.5690 0.4980 0.1895
Ni 0.5841 0.2500 0.9838
Ni 0.6880 0.2500 0.7588
Ni 0.8120 0.7500 0.2588
Ni 0.9159 0.7500 0.4838
Ni 0.9310 0.5020 0.6895
Ni 0.9310 0.9980 0.6895
Ni 0.9532 0.2500 0.8954
```

No. 6
Compound: HoMg6Ni6
Source: the Alexandria database
Functional: PBE-GGA
Structure: relaxed Values from VASP.

Results
- Theoretical density: 5.4 g/cm³
- Total DFT energy (no corrections): -3.95 eV/atom
- Energy of formation: -0.192 eV per atom
- Symmetry: Immm (71)
- DOS(E_F): 0.5506 states/eV per atom

Geometry as Quantum ESPRESSO input:
```
&SYSTEM
  ibrav = 0, nat = 13, ntyp = 3
/
ATOMIC_SPECIES
Ho 164.93 Ho.upf
Mg 24.30 Mg.upf
Ni 58.69 Ni.upf
CELL_PARAMETERS angstrom
-2.5554 4.3920 4.5109
2.5554 -4.3920 4.5109
2.5554 4.3920 -4.5109
ATOMIC_POSITIONS crystal
Ho 0.0000 0.0000 0.0000
Mg 0.1896 0.6896 0.5000
Mg 0.3345 0.0000 0.3345
Mg 0.3468 0.3468 0.0000
Mg 0.6532 0.6532 0.0000
Mg 0.6655 0.0000 0.6655
Mg 0.8104 0.3104 0.5000
Ni 0.0000 0.0000 0.5000
Ni 0.0000 0.5000 0.0000
Ni 0.2296 0.5000 0.7296
Ni 0.5000 0.0000 0.0000
Ni 0.5000 0.5000 0.5000
Ni 0.7704 0.5000 0.2704
```

No. 7
Compound: Ho2MgNi
Source: the Alexandria database
Functional: PBE-GGA
Structure: relaxed Values from VASP.

Results
- Theoretical density: 7.4 g/cm³
- Total DFT energy (no corrections): -4.39 eV/atom
- Energy of formation: -0.261 eV per atom
- Symmetry: P4/mmm (123)
- DOS(E_F): 0.5561 states/eV per atom

Geometry as Quantum ESPRESSO input:
```
&SYSTEM
  ibrav = 0, nat = 4, ntyp = 3
/
ATOMIC_SPECIES
Ho 164.93 Ho.upf
Mg 24.30 Mg.upf
Ni 58.69 Ni.upf
CELL_PARAMETERS angstrom
3.4276 0.0000 0.0000
0.0000 3.4276 0.0000
0.0000 0.0000 7.8702
ATOMIC_POSITIONS crystal
Ho 0.0000 0.0000 0.2026
Ho 0.0000 0.0000 0.7974
Mg 0.5000 0.5000 0.5000
Ni 0.5000 0.5000 0.0000
```

No. 8
Compound: HoMgNi2
Source: the Alexandria database
Functional: PBE-GGA
Structure: relaxed Values from VASP.

Results
- Theoretical density: 7.7 g/cm³
- Total DFT energy (no corrections): -4.70 eV/atom
- Energy of formation: -0.268 eV per atom
- Symmetry: P4/mmm (123)
- DOS(E_F): 0.3590 states/eV per atom

Geometry as Quantum ESPRESSO input:
```
&SYSTEM
  ibrav = 0, nat = 4, ntyp = 3
/
ATOMIC_SPECIES
Ho 164.93 Ho.upf
Mg 24.30 Mg.upf
Ni 58.69 Ni.upf
CELL_PARAMETERS angstrom
3.2431 0.0000 0.0000
0.0000 3.2431 0.0000
0.0000 0.0000 6.3245
ATOMIC_POSITIONS crystal
Ho 0.0000 0.0000 0.0000
Mg 0.0000 0.0000 0.5000
Ni 0.5000 0.5000 0.2744
Ni 0.5000 0.5000 0.7256
```

Please write out number 6 again, unchanged.
Compound: HoMg6Ni6
Source: the Alexandria database
Functional: PBE-GGA
Structure: relaxed Values from VASP.

Results
- Theoretical density: 5.4 g/cm³
- Total DFT energy (no corrections): -3.95 eV/atom
- Energy of formation: -0.192 eV per atom
- Symmetry: Immm (71)
- DOS(E_F): 0.5506 states/eV per atom

Geometry as Quantum ESPRESSO input:
```
&SYSTEM
  ibrav = 0, nat = 13, ntyp = 3
/
ATOMIC_SPECIES
Ho 164.93 Ho.upf
Mg 24.30 Mg.upf
Ni 58.69 Ni.upf
CELL_PARAMETERS angstrom
-2.5554 4.3920 4.5109
2.5554 -4.3920 4.5109
2.5554 4.3920 -4.5109
ATOMIC_POSITIONS crystal
Ho 0.0000 0.0000 0.0000
Mg 0.1896 0.6896 0.5000
Mg 0.3345 0.0000 0.3345
Mg 0.3468 0.3468 0.0000
Mg 0.6532 0.6532 0.0000
Mg 0.6655 0.0000 0.6655
Mg 0.8104 0.3104 0.5000
Ni 0.0000 0.0000 0.5000
Ni 0.0000 0.5000 0.0000
Ni 0.2296 0.5000 0.7296
Ni 0.5000 0.0000 0.0000
Ni 0.5000 0.5000 0.5000
Ni 0.7704 0.5000 0.2704
```

> Among the records above, which one has the lowest DOS(E_F)?

HoMgNi2

> The lowest theoretical density belongs to which entry?

HoMg11Ni

> energy of formation of number 4 (HoMg3Ni)?

-0.181 eV per atom